No. 1
LiTi2NbS: relaxed, PBEsol.

Values from the calculation:
- formation energy from raw total energies (eV/atom) = 0.860
- calculated volume (Å³/f.u.) = 77.9
- density of states at the Fermi level (states/eV per cell) = 5.25

a b c (Å): 4.200 4.200 4.415
angles (deg): 90.00 90.00 90.00
Fractional coordinates of all 5 atoms:
Li  0.000  0.000  0.000
Ti  0.000  0.500  0.000
Ti  0.500  0.000  0.000
Nb  0.000  0.000  0.500
S  0.500  0.500  0.500


No. 2
AgMo2Au: relaxed, PBEsol.

Values from the calculation:
- energy relative to the elements (eV per atom) = 0.301
- polymorph energy (0 for the lowest one) (eV per formula unit) = 0.03
- calculated volume (Å³/f.u.) = 63.4
- density of states at the Fermi level (states/eV per cell) = 2.29

a b c (Å): 2.660 4.140 5.755
angles (deg): 90.00 90.00 90.00
Fractional coordinates of all 4 atoms:
Ag  0.000  0.000  0.000
Mo  0.000  0.000  0.508
Mo  0.500  0.500  0.741
Au  0.500  0.500  0.249


No. 3
KIn2Ag: relaxed, PBEsol.

Values from the calculation:
- energy relative to the elements (eV per atom) = -0.002
- calculated volume (Å³/f.u.) = 103.3
- density of states at the Fermi level (states/eV per cell) = 1.59

a b c (Å): 6.504 6.504 6.504
angles (deg): 151.28 128.08 60.42
Fractional coordinates of all 4 atoms:
K  0.000  0.000  0.000
In  0.288  0.788  0.500
In  0.712  0.212  0.500
Ag  0.500  0.500  0.000


no.,E (eV/atom)
1,-5.904
2,-7.392
3,-2.604